*i*
A plane-wave DFT calculation with PBE was carried out for crystalline Ca2TbIn at its relaxed geometry.

a b c (Å): 12.775 12.775 12.775
angles (deg): 16.32 16.32 16.32
Atoms (fractional coordinates):
Ca 0.086 0.086 0.086
Ca 0.914 0.914 0.914
Tb 0.500 0.500 0.500
In 0.000 0.000 0.000

Results
Magnetization = 0.0 μB/cell
Fermi-level density of states = 5.4 states/eV/cell

***

*ii*
A plane-wave DFT calculation with PBE was carried out for crystalline Ca2TbIn at its relaxed geometry.

a b c (Å): 4.862 4.862 5.250
angles (deg): 90.00 90.00 90.00
Atoms (fractional coordinates):
Ca 0.000 0.500 0.000
Ca 0.500 0.000 0.000
Tb 0.000 0.000 0.500
In 0.500 0.500 0.500

Results
Magnetization = 0.0 μB/cell
Fermi-level density of states = 1.3 states/eV/cell

***

*ii* has the most favorable energy; the next structure is 346 meV/atom above.

***

*i*
A plane-wave DFT calculation with PBE was carried out for crystalline CaTbIn4 at its relaxed geometry.

a b c (Å): 6.068 6.068 6.068
angles (deg): 60.00 60.00 60.00
Atoms (fractional coordinates):
Ca 0.000 0.000 0.000
Tb 0.750 0.750 0.750
In 0.375 0.375 0.375
In 0.375 0.375 0.874
In 0.375 0.874 0.375
In 0.874 0.375 0.375

Results
Magnetization = 0.0 μB/cell
Fermi-level density of states = 4.6 states/eV/cell

***

*ii*
A plane-wave DFT calculation with PBE was carried out for crystalline CaTbIn4 at its relaxed geometry.

a b c (Å): 3.647 4.983 8.690
angles (deg): 90.00 90.04 90.00
Atoms (fractional coordinates):
Ca 0.000 0.000 0.000
Tb 0.000 0.500 0.500
In 0.485 0.000 0.336
In 0.490 0.500 0.832
In 0.510 0.500 0.168
In 0.515 0.000 0.664

Results
Magnetization = 0.0 μB/cell
Fermi-level density of states = 2.9 states/eV/cell

***

*ii* has the most favorable energy; the next structure is 66 meV/atom above.